# 1
PtPbAu2, optimized geometry, DFT PBE-GGA; DFT formation energy = 0.09 eV per atom; VASP energy = -3.9886 eV per atom; DOS(E_F) = 1.285 states/eV/f.u.
1.0
4.851 0.000 0.000
0.000 3.233 -0.003
0.000 1.218 5.200
Pb Au Pt
1 2 1
Cartesian
2.426 1.113 1.299
0.000 4.172 5.093
0.000 2.504 2.703
2.426 3.338 3.898

---

# 2
Ce2Si5Rh, optimized geometry, DFT PBE-GGA; ΔE_f (raw) = -0.621 eV/atom; VASP energy = -6.4131 eV per atom; DOS(E_F) = 9.109 states/eV/f.u.
1.0
6.035 -0.111 -0.158
-3.068 5.199 0.158
-3.068 -1.620 4.942
Rh Si Ce
1 5 2
Cartesian
-0.085 0.049 0.070
-1.743 1.017 1.449
-3.007 0.318 3.506
1.779 0.936 1.334
-1.757 2.460 3.506
-3.007 3.189 1.492
0.060 -0.035 3.576
0.060 3.374 1.184